Entry 1:
# W5Br4 (PBE, relaxed)
# - D(E_F): 11.30 states/eV per cell
# - E_form (uncorrected): 1.073 eV/atom
data_W5Br4
_chemical_formula_sum 'W10 Br8'
_space_group_name_H-M_alt 'P 63/m c m'
_space_group_IT_number 193
_space_group_name_Hall '-P 6c 2'
_cell_length_a 9.3963
_cell_length_b 9.3963
_cell_length_c 4.9355
_cell_angle_alpha 90.00
_cell_angle_beta 90.00
_cell_angle_gamma 120.00
loop_
_atom_site_label
_atom_site_type_symbol
_atom_site_fract_x
_atom_site_fract_y
_atom_site_fract_z
W1 W 0.0000 0.4456 0.2500
W2 W 0.3333 0.6667 0.0000
Br1 Br 0.0000 0.0000 0.0000
Br2 Br 0.0000 0.2898 0.7500

Entry 2:
# SrCeTlBi (PBE, relaxed)
# - D(E_F): 37.17 states/eV per cell
# - Formation energy: -0.419 eV per atom
data_SrCeTlBi
_chemical_formula_sum 'Sr4 Ce4 Tl4 Bi4'
_space_group_name_H-M_alt 'F -4 3 m'
_space_group_IT_number 216
_space_group_name_Hall 'F -4 2 3'
_cell_length_a 8.053
_cell_length_b 8.053
_cell_length_c 8.053
_cell_angle_alpha 90.00
_cell_angle_beta 90.00
_cell_angle_gamma 90.00
loop_
_atom_site_label
_atom_site_type_symbol
_atom_site_fract_x
_atom_site_fract_y
_atom_site_fract_z
Sr1 Sr 0.000 0.000 0.000
Ce1 Ce 0.000 0.000 0.500
Tl1 Tl 0.250 0.250 0.750
Bi1 Bi 0.250 0.250 0.250

Entry 3:
# In2TeAs (PBE, relaxed)
# - Distance to the lowest polymorph of the same formula: 135 meV per atom
# - D(E_F): 3.91 states/eV per cell
# - E_form (uncorrected): -0.030 eV/atom
data_In2TeAs
_chemical_formula_sum 'In4 Te2 As2'
_space_group_name_H-M_alt 'I m m 2'
_space_group_IT_number 44
_space_group_name_Hall 'I 2 -2'
_cell_length_a 3.881
_cell_length_b 3.961
_cell_length_c 14.302
_cell_angle_alpha 90.00
_cell_angle_beta 90.00
_cell_angle_gamma 90.00
loop_
_atom_site_label
_atom_site_type_symbol
_atom_site_fract_x
_atom_site_fract_y
_atom_site_fract_z
In1 In 0.000 0.000 0.000
In2 In 0.000 0.500 0.221
Te1 Te 0.000 0.000 0.398
As1 As 0.000 0.500 0.652

Entry 4:
# Cs3AlTl4 (PBE, relaxed)
# - Distance to the lowest polymorph of the same formula: 13 meV per atom
# - D(E_F): 5.40 states/eV per cell
# - Formation energy: 0.015 eV per atom
data_Cs3AlTl4
_chemical_formula_sum 'Cs6 Al2 Tl8'
_space_group_name_H-M_alt 'C 1 2 1'
_space_group_IT_number 5
_space_group_name_Hall 'C 2y'
_cell_length_a 13.930
_cell_length_b 7.111
_cell_length_c 7.312
_cell_angle_alpha 90.00
_cell_angle_beta 103.02
_cell_angle_gamma 90.00
loop_
_atom_site_label
_atom_site_type_symbol
_atom_site_fract_x
_atom_site_fract_y
_atom_site_fract_z
Cs1 Cs 0.000 0.000 0.000
Cs2 Cs 0.164 0.059 0.558
Al1 Al 0.000 0.578 0.500
Tl1 Tl 0.074 0.497 0.194
Tl2 Tl 0.182 0.549 0.861

Entry 5:
# Hg2RhCl (PBE, relaxed)
# - Distance to the lowest polymorph of the same formula: 364 meV per atom
# - D(E_F): 3.36 states/eV per cell
# - E_form (uncorrected): 0.368 eV/atom
data_Hg2RhCl
_chemical_formula_sum 'Hg8 Rh4 Cl4'
_space_group_name_H-M_alt 'F -4 3 m'
_space_group_IT_number 216
_space_group_name_Hall 'F -4 2 3'
_cell_length_a 6.844
_cell_length_b 6.844
_cell_length_c 6.844
_cell_angle_alpha 90.00
_cell_angle_beta 90.00
_cell_angle_gamma 90.00
loop_
_atom_site_label
_atom_site_type_symbol
_atom_site_fract_x
_atom_site_fract_y
_atom_site_fract_z
Hg1 Hg 0.000 0.000 0.000
Hg2 Hg 0.250 0.250 0.250
Rh1 Rh 0.000 0.000 0.500
Cl1 Cl 0.250 0.250 0.750

Entry 6:
# AlCu2Pd4 (PBE, relaxed)
# - Distance to the lowest polymorph of the same formula: 66 meV per atom
# - D(E_F): 11.91 states/eV per cell
# - Formation energy: -0.302 eV per atom
data_AlCu2Pd4
_chemical_formula_sum 'Al2 Cu4 Pd8'
_space_group_name_H-M_alt 'I 4/m m m'
_space_group_IT_number 139
_space_group_name_Hall '-I 4 2'
_cell_length_a 6.010
_cell_length_b 6.010
_cell_length_c 5.881
_cell_angle_alpha 90.00
_cell_angle_beta 90.00
_cell_angle_gamma 90.00
loop_
_atom_site_label
_atom_site_type_symbol
_atom_site_fract_x
_atom_site_fract_y
_atom_site_fract_z
Al1 Al 0.000 0.000 0.000
Cu1 Cu 0.000 0.500 0.000
Pd1 Pd 0.250 0.250 0.250